A relaxed SmTm2Sb crystal. Source: Alexandria via LeMat-Bulk, functional PBE.

M_tot in μB per formula unit: 0.00
Raw total energy in eV/atom: -4.897
Uncorrected formation energy in meV/atom: -451
Crystal system: tetragonal
Density of states at the Fermi level in states/eV/atom: 0.942

Geometry as extended XYZ:
```
4
Lattice="3.9409 0.0000 0.0000 0.0000 3.9409 0.0000 0.0000 0.0000 7.3529" Properties=species:S:1:pos:R:3 pbc="T T T"
Sm 0.0000 0.0000 0.0000
Tm 1.9705 1.9705 2.0585
Tm 1.9705 1.9705 5.2944
Sb 0.0000 0.0000 3.6764
```